[1]
Entry from Alexandria via LeMat-Bulk: a relaxed structure of LiCeAl3 (GGA-PBE).

Unit cell a=8.3313 b=8.3313 c=5.2533 alpha=90.00 beta=90.00 gamma=142.56
Closest atoms and distances in Å follow each position.
Atoms (fractional coordinates):
Li 0.0533 0.9467 0.7500  10 Al 3.08-3.14, 2 Li 3.12
Li 0.9467 0.0533 0.2500  10 Al 3.08-3.14, 2 Li 3.12
Ce 0.3047 0.6953 0.2500  8 Al 3.15-3.35, 2 Li 3.49
Ce 0.6953 0.3047 0.7500  8 Al 3.15-3.35, 2 Li 3.49
Al 0.1220 0.3683 0.7500  4 Al 2.62-2.73
Al 0.3683 0.1220 0.2500  4 Al 2.62-2.73
Al 0.5000 0.5000 0.0000  6 Al 2.63-2.71
Al 0.5000 0.5000 0.5000  6 Al 2.63-2.71
Al 0.6317 0.8780 0.7500  4 Al 2.62-2.73
Al 0.8780 0.6317 0.2500  4 Al 2.62-2.73

Size of the total moment: 0.76 μB/f.u.
Volume: 221.7 Å³/cell

***

[2]
Entry from Alexandria via LeMat-Bulk: a relaxed structure of K3AgSn4 (GGA-PBE).

Unit cell a=6.8010 b=12.8681 c=6.7060 alpha=90.00 beta=90.00 gamma=90.00
Closest atoms and distances in Å follow each position.
Atoms (fractional coordinates):
K 0.2500 0.0018 0.1762  1 Ag 3.37, 4 Sn 3.75-3.77
K 0.2500 0.2500 0.5493  2 Ag 3.52, 4 Sn 3.71-3.86
K 0.2500 0.4982 0.1762  1 Ag 3.37, 4 Sn 3.75-3.77
K 0.7500 0.5018 0.8238  1 Ag 3.37, 4 Sn 3.75-3.77
K 0.7500 0.7500 0.4507  2 Ag 3.52, 4 Sn 3.71-3.86
K 0.7500 0.9982 0.8238  1 Ag 3.37, 4 Sn 3.75-3.77
Ag 0.2500 0.7500 0.3162  4 Sn 2.87-2.88
Ag 0.7500 0.2500 0.6838  4 Sn 2.87-2.88
Sn 0.0093 0.7500 0.9631  1 Ag 2.88, 2 Sn 2.97
Sn 0.2500 0.6289 0.6760  1 Ag 2.87, 3 Sn 2.97-3.12
Sn 0.2500 0.8711 0.6760  1 Ag 2.87, 3 Sn 2.97-3.12
Sn 0.4907 0.7500 0.9631  1 Ag 2.88, 2 Sn 2.97
Sn 0.5093 0.2500 0.0369  1 Ag 2.88, 2 Sn 2.97
Sn 0.7500 0.1289 0.3240  1 Ag 2.87, 3 Sn 2.97-3.12
Sn 0.7500 0.3711 0.3240  1 Ag 2.87, 3 Sn 2.97-3.12
Sn 0.9907 0.2500 0.0369  1 Ag 2.88, 2 Sn 2.97

Size of the total moment: 0.00 μB/f.u.
Volume: 586.9 Å³/cell

***

Number 1: final energy -19.68 eV/f.u.. Number 2: final energy -24.37 eV/f.u..